1.
The following is a PBE calculation of an optimized crystal structure of PrSm2Ho3, from Alexandria via LeMat-Bulk.

Structure (POSCAR):
```
PrSm2Ho3
1.0
4.502 -4.928 0.000
4.502 4.928 0.000
-1.842 0.000 8.823
Pr Sm Ho
2 4 6
direct
0.086 0.914 0.750
0.914 0.086 0.250
0.130 0.624 0.374
0.376 0.870 0.126
0.624 0.130 0.874
0.870 0.376 0.626
0.165 0.333 0.999
0.333 0.165 0.499
0.419 0.581 0.750
0.581 0.419 0.250
0.667 0.835 0.501
0.835 0.667 0.001
```

Summary:
Crystal system: monoclinic
E_form, eV per atom: 0.068


2.
The following is a PBE calculation of an optimized crystal structure of AcClF3, from Alexandria via LeMat-Bulk.

Structure (POSCAR):
```
AcClF3
1.0
4.870 0.000 0.000
0.000 4.870 0.000
0.000 0.000 4.870
Ac Cl F
1 1 3
direct
0.000 0.000 0.000
0.500 0.500 0.500
0.000 0.000 0.500
0.000 0.500 0.000
0.500 0.000 0.000
```

Summary:
Crystal system: cubic
Raw formation energy, eV/atom: -3.0032


3.
The following is a PBE calculation of an optimized crystal structure of KTlGa2Ru, from Alexandria via LeMat-Bulk.

Structure (POSCAR):
```
KTlGa2Ru
1.0
4.904 0.000 0.000
0.000 4.904 0.000
0.000 0.000 5.308
K Tl Ga Ru
1 1 2 1
direct
0.000 0.000 0.000
0.500 0.500 0.000
0.000 0.500 0.500
0.500 0.000 0.500
0.500 0.500 0.500
```

Summary:
Crystal system: tetragonal
E_form, eV per atom: -0.153


4.
The following is a PBE calculation of an optimized crystal structure of ZrReW2, from Alexandria via LeMat-Bulk.

Structure (POSCAR):
```
ZrReW2
1.0
3.842 0.000 0.000
0.000 3.842 0.000
0.000 0.000 9.443
Zr Re W
2 2 4
direct
0.000 0.000 0.000
0.500 0.500 0.500
0.000 0.000 0.500
0.500 0.500 0.000
0.000 0.500 0.250
0.000 0.500 0.750
0.500 0.000 0.250
0.500 0.000 0.750
```

Summary:
Crystal system: tetragonal
E_form, eV per atom: 0.284


5.
The following is a PBE calculation of an optimized crystal structure of Zr6Co2H, from Alexandria via LeMat-Bulk.

Structure (POSCAR):
```
Zr6Co2H
1.0
5.716 0.000 0.000
0.000 6.209 0.000
-5.638 0.000 9.146
Zr Co H
12 4 2
direct
0.089 0.040 0.252
0.089 0.460 0.752
0.213 0.685 0.060
0.213 0.815 0.560
0.411 0.190 0.062
0.411 0.310 0.562
0.589 0.690 0.438
0.589 0.810 0.938
0.787 0.185 0.440
0.787 0.315 0.940
0.911 0.540 0.248
0.911 0.960 0.748
0.343 0.115 0.752
0.343 0.385 0.252
0.657 0.615 0.748
0.657 0.885 0.248
0.000 0.000 0.000
0.000 0.500 0.500
```

Summary:
Crystal system: monoclinic
Total energy, eV/cell: -141.9


6.
The following is a PBE calculation of an optimized crystal structure of Ti11Ga9Fe4, from Alexandria via LeMat-Bulk.

Structure (POSCAR):
```
Ti11Ga9Fe4
1.0
6.350 -9.468 0.000
6.350 9.468 0.000
0.000 0.000 2.984
Ti Ga Fe
11 9 4
direct
0.000 0.000 0.000
0.069 0.415 0.000
0.154 0.846 0.000
0.313 0.313 0.000
0.374 0.626 0.000
0.415 0.069 0.000
0.585 0.931 0.000
0.626 0.374 0.000
0.687 0.687 0.000
0.846 0.154 0.000
0.931 0.585 0.000
0.076 0.218 0.500
0.157 0.635 0.500
0.218 0.076 0.500
0.365 0.843 0.500
0.500 0.500 0.500
0.635 0.157 0.500
0.782 0.924 0.500
0.843 0.365 0.500
0.924 0.782 0.500
0.241 0.449 0.500
0.449 0.241 0.500
0.551 0.759 0.500
0.759 0.551 0.500
```

Summary:
Crystal system: orthorhombic
E_form, eV per atom: -0.462


7.
The following is a PBE calculation of an optimized crystal structure of NpTl2Se3, from Alexandria via LeMat-Bulk.

Structure (POSCAR):
```
NpTl2Se3
1.0
6.078 0.000 0.000
0.000 15.821 0.000
0.000 0.000 4.214
Np Tl Se
2 4 6
direct
0.000 0.000 0.000
0.500 0.500 0.000
0.000 0.349 0.500
0.000 0.651 0.500
0.500 0.151 0.500
0.500 0.849 0.500
0.000 0.117 0.500
0.000 0.500 0.000
0.000 0.883 0.500
0.500 0.000 0.000
0.500 0.383 0.500
0.500 0.617 0.500
```

Summary:
Crystal system: orthorhombic
Raw formation energy, eV/atom: -0.7125


8.
The following is a PBE calculation of an optimized crystal structure of Cs2Na3Tl12In, from Alexandria via LeMat-Bulk.

Structure (POSCAR):
```
Cs2Na3Tl12In
1.0
4.077 2.354 11.614
-4.077 2.354 11.614
0.000 -4.708 11.614
Cs Na Tl In
2 3 12 1
direct
0.153 0.153 0.153
0.847 0.847 0.847
0.000 0.500 0.500
0.500 0.000 0.500
0.500 0.500 0.000
0.082 0.082 0.692
0.082 0.692 0.082
0.143 0.572 0.572
0.308 0.918 0.918
0.428 0.428 0.857
0.428 0.857 0.428
0.572 0.143 0.572
0.572 0.572 0.143
0.692 0.082 0.082
0.857 0.428 0.428
0.918 0.308 0.918
0.918 0.918 0.308
0.500 0.500 0.500
```

Summary:
Crystal system: trigonal
E_form, eV per atom: 0.015